This record from Alexandria describes a relaxed structure of CoOs2Pd. The functional is PBE.

Unit cell a=4.2847 b=4.2847 c=4.2847 alpha=60.00 beta=60.00 gamma=60.00
Fractional positions:
Co  0.0000  0.0000  0.0000
Os  0.2500  0.2500  0.2500
Os  0.7500  0.7500  0.7500
Pd  0.5000  0.5000  0.5000

Calculated values
ΔH_f (0 K)	635	meV per atom
N(E_F)	4.64	states/eV/f.u.
distance to the lowest polymorph of the same formula	0.000	eV per atom